A relaxed TbHoBeRh crystal. Source: Alexandria via LeMat-Bulk, functional PBE.

POSCAR file:
```
TbHoBeRh
1.0
6.855 0.000 0.000
0.000 6.855 0.000
0.000 0.000 6.855
Tb Ho Be Rh
4 4 4 4
Direct
0.000 0.000 0.000
0.000 0.500 0.500
0.500 0.000 0.500
0.500 0.500 0.000
0.000 0.000 0.500
0.000 0.500 0.000
0.500 0.000 0.000
0.500 0.500 0.500
0.250 0.250 0.750
0.250 0.750 0.250
0.750 0.250 0.250
0.750 0.750 0.750
0.250 0.250 0.250
0.250 0.750 0.750
0.750 0.250 0.750
0.750 0.750 0.250
```

Output
* energy of formation: -0.374 eV per atom
* crystal system: cubic
* ρ: 9.0 g/cm3

=====

A relaxed Cs3Pu2HgI9 crystal. Source: Alexandria via LeMat-Bulk, functional PBE.

POSCAR file:
```
Cs3Pu2HgI9
1.0
8.621 0.000 0.000
-4.311 7.466 0.000
0.000 0.000 13.615
Cs Pu Hg I
3 2 1 9
Direct
0.000 0.000 0.000
0.333 0.667 0.747
0.667 0.333 0.253
0.333 0.667 0.147
0.667 0.333 0.853
0.000 0.000 0.500
0.000 0.500 0.000
0.162 0.324 0.261
0.162 0.838 0.261
0.324 0.162 0.739
0.500 0.000 0.000
0.500 0.500 0.000
0.676 0.838 0.261
0.838 0.162 0.739
0.838 0.676 0.739
```

Output
* energy relative to the elements, uncorrected: -1.17 eV/atom
* crystal system: trigonal
* ρ: 4.2 g/cm3

=====

A relaxed LiY2ErAu4 crystal. Source: Alexandria via LeMat-Bulk, functional PBE.

POSCAR file:
```
LiY2ErAu4
1.0
2.491 1.438 8.192
-2.491 1.438 8.192
0.000 -2.876 8.192
Li Y Er Au
1 2 1 4
Direct
0.000 0.000 0.000
0.256 0.256 0.256
0.744 0.744 0.744
0.500 0.500 0.500
0.130 0.130 0.130
0.378 0.378 0.378
0.622 0.622 0.622
0.870 0.870 0.870
```

Output
* energy of formation: -0.793 eV per atom
* crystal system: trigonal
* ρ: 10.8 g/cm3

=====

A relaxed Sm3CoSb crystal. Source: Alexandria via LeMat-Bulk, functional PBE.

POSCAR file:
```
Sm3CoSb
1.0
5.201 0.000 0.000
0.000 5.201 0.000
0.000 0.000 5.201
Sm Co Sb
3 1 1
Direct
0.000 0.000 0.500
0.000 0.500 0.000
0.500 0.000 0.000
0.000 0.000 0.000
0.500 0.500 0.500
```

Output
* energy relative to the elements, uncorrected: -0.37 eV/atom
* E above lowest polymorph: 101.7 meV/atom
* crystal system: cubic
* ρ: 7.5 g/cm3

=====

A relaxed LiDy2PuN4 crystal. Source: Alexandria via LeMat-Bulk, functional PBE.

POSCAR file:
```
LiDy2PuN4
1.0
5.754 0.000 0.000
0.000 3.505 0.000
-1.610 0.000 5.530
Li Dy Pu N
1 2 1 4
Direct
0.000 0.000 0.000
0.000 0.500 0.500
0.500 0.000 0.500
0.500 0.500 0.000
0.247 0.000 0.749
0.294 0.500 0.242
0.706 0.500 0.758
0.753 0.000 0.251
```

Output
* energy relative to the elements, uncorrected: -1.21 eV/atom
* crystal system: monoclinic
* ρ: 9.4 g/cm3

=====

A relaxed NbTl2Au2 crystal. Source: Alexandria via LeMat-Bulk, functional PBE.

POSCAR file:
```
NbTl2Au2
1.0
8.056 0.000 0.000
0.000 8.056 0.000
0.000 0.000 3.318
Nb Tl Au
2 4 4
Direct
0.000 0.000 0.000
0.500 0.500 0.000
0.142 0.358 0.000
0.358 0.858 0.000
0.642 0.142 0.000
0.858 0.642 0.000
0.161 0.661 0.500
0.339 0.161 0.500
0.661 0.839 0.500
0.839 0.339 0.500
```

Output
* E above lowest polymorph: 0.0 meV/atom
* energy of formation: 0.471 eV per atom
* crystal system: tetragonal
* ρ: 13.8 g/cm3

=====

A relaxed LaH2S crystal. Source: Alexandria via LeMat-Bulk, functional PBE.

POSCAR file:
```
LaH2S
1.0
3.872 0.000 0.000
0.000 4.222 0.000
-1.672 0.000 4.572
La H S
1 2 1
Direct
0.000 0.000 0.000
0.421 0.000 0.540
0.579 0.000 0.460
0.500 0.500 0.000
```

Output
* E above lowest polymorph: 67.1 meV/atom
* crystal system: monoclinic
* ρ: 3.8 g/cm3

=====

A relaxed PrNdBiSb crystal. Source: Alexandria via LeMat-Bulk, functional PBE.

POSCAR file:
```
PrNdBiSb
1.0
4.584 0.000 0.000
0.000 4.584 0.000
0.000 0.000 6.475
Pr Nd Bi Sb
1 1 1 1
Direct
0.000 0.000 0.000
0.500 0.500 0.500
0.500 0.500 0.000
0.000 0.000 0.500
```

Output
* energy relative to the elements, uncorrected: -1.07 eV/atom
* crystal system: tetragonal
* ρ: 7.5 g/cm3

=====

A relaxed SrNdDy2 crystal. Source: Alexandria via LeMat-Bulk, functional PBE.

POSCAR file:
```
SrNdDy2
1.0
3.719 0.000 0.000
0.000 3.719 0.000
0.000 0.000 10.641
Sr Nd Dy
1 1 2
Direct
0.000 0.000 0.000
0.000 0.000 0.500
0.500 0.500 0.276
0.500 0.500 0.724
```

Output
* E above lowest polymorph: 5.9 meV/atom
* energy of formation: 0.126 eV per atom
* crystal system: tetragonal
* ρ: 6.3 g/cm3

=====

Number 1: density of states at the Fermi level 0.461 states/eV/atom. Number 2: density of states at the Fermi level 2.045 states/eV/atom. Number 3: density of states at the Fermi level 0.586 states/eV/atom. Number 4: density of states at the Fermi level 1.039 states/eV/atom. Number 5: density of states at the Fermi level 0.624 states/eV/atom. Number 6: density of states at the Fermi level 0.725 states/eV/atom. Number 7: density of states at the Fermi level 0.444 states/eV/atom. Number 8: density of states at the Fermi level 0.142 states/eV/atom. Number 9: density of states at the Fermi level 1.659 states/eV/atom.